Computed, not measured: a relaxed structure of CsNaTl2Pd at the PBE level of DFT.

- Crystal system: tetragonal
- Polymorph energy (0 for the lowest one): 129 meV/atom
- Total magnetic moment: 0.00 μB/atom
- Volume: 38.4 A^3/atom
- DFT formation energy: 8 meV/atom

a = 5.4502 Å, b = 5.4502 Å, c = 6.4629 Å
α = 90.00°, β = 90.00°, γ = 90.00°
With the nearest neighbours (Å) after each atom.
Positions (direct):
Cs (0.0000, 0.0000, 0.0000)  2 Pd 3.23
Na (0.5000, 0.5000, 0.0000)  4 Cs 3.85, 8 Tl 4.23
Tl (0.0000, 0.5000, 0.5000)  2 Pd 2.73
Tl (0.5000, 0.0000, 0.5000)  2 Pd 2.73
Pd (0.0000, 0.0000, 0.5000)  4 Tl 2.73

---

Computed, not measured: a relaxed structure of OsRhAu2 at the PBE level of DFT.

- Crystal system: monoclinic
- Polymorph energy (0 for the lowest one): 321 meV/atom
- Total magnetic moment: 0.00 μB/atom
- Volume: 16.3 A^3/atom
- DFT formation energy: 535 meV/atom

a = 2.7520 Å, b = 4.8747 Å, c = 4.8453 Å
α = 90.00°, β = 90.39°, γ = 90.00°
With the nearest neighbours (Å) after each atom.
Positions (direct):
Os (0.0000, 0.0000, 0.0000)  2 Os 2.75, 4 Rh 2.78-2.79, 4 Au 2.80
Rh (0.5000, 0.0000, 0.5000)  2 Rh 2.75, 4 Os 2.78-2.79, 4 Au 2.81
Au (0.2464, 0.5000, 0.2500)  6 Au 2.75-2.80, 2 Os 2.80, 2 Rh 2.81
Au (0.7536, 0.5000, 0.7500)  6 Au 2.75-2.80, 2 Os 2.80, 2 Rh 2.81

---

Computed, not measured: a relaxed structure of Zr6Tl3N at the PBE level of DFT.

- Crystal system: monoclinic
- Formation energy (no corrections): -0.25 eV/atom
- Total magnetic moment: 0.00 μB/atom
- Volume: 22.8 A^3/atom

a = 6.1394 Å, b = 6.1394 Å, c = 7.4465 Å
α = 107.73°, β = 107.73°, γ = 60.14°
With the nearest neighbours (Å) after each atom.
Positions (direct):
Zr (0.1406, 0.6528, 0.6243)  1 N 2.24
Zr (0.1759, 0.1759, 0.7888)  1 N 2.30
Zr (0.3472, 0.8594, 0.3757)  1 N 2.24
Zr (0.6528, 0.1406, 0.6243)  1 N 2.24
Zr (0.8241, 0.8241, 0.2112)  1 N 2.30
Zr (0.8594, 0.3472, 0.3757)  1 N 2.24
Tl (0.3092, 0.3092, 0.2388)  9 Zr 3.09-3.32, 1 Tl 3.13
Tl (0.5000, 0.5000, 0.0000)  6 Zr 3.06-3.24, 2 Tl 3.13
Tl (0.6908, 0.6908, 0.7612)  9 Zr 3.09-3.32, 1 Tl 3.13
N (0.0000, 0.0000, 0.5000)  6 Zr 2.24-2.30

---

Computed, not measured: a relaxed structure of CaMnPb2 at the PBE level of DFT.

- Crystal system: orthorhombic
- Total magnetic moment: 0.90 μB/atom
- Volume: 25.9 A^3/atom
- DFT formation energy: 26 meV/atom

a = 4.7297 Å, b = 5.4626 Å, c = 8.0268 Å
α = 90.00°, β = 90.00°, γ = 90.00°
With the nearest neighbours (Å) after each atom.
Positions (direct):
Ca (0.0000, 0.0000, 0.0000)  8 Pb 3.30-3.57, 4 Ca 3.61
Ca (0.5000, 0.5000, 0.0000)  8 Pb 3.30-3.57, 4 Ca 3.61
Mn (0.0000, 0.0000, 0.5000)  8 Pb 2.92-3.22
Mn (0.5000, 0.5000, 0.5000)  8 Pb 2.92-3.22
Pb (0.0000, 0.5000, 0.2864)  4 Mn 2.92-3.22
Pb (0.0000, 0.5000, 0.7136)  4 Mn 2.92-3.22
Pb (0.5000, 0.0000, 0.2864)  4 Mn 2.92-3.22
Pb (0.5000, 0.0000, 0.7136)  4 Mn 2.92-3.22

---

Computed, not measured: a relaxed structure of Tl4In3Bi at the PBE level of DFT.

- Crystal system: orthorhombic
- Total magnetic moment: 0.00 μB/atom
- Volume: 29.9 A^3/atom
- DFT formation energy: 24 meV/atom

a = 3.5331 Å, b = 5.8539 Å, c = 23.1692 Å
α = 90.00°, β = 90.00°, γ = 90.00°
With the nearest neighbours (Å) after each atom.
Positions (direct):
Tl (0.0000, 0.0000, 0.1303)  4 In 3.44, 2 Bi 3.50, 6 Tl 3.53-3.84
Tl (0.0000, 0.0000, 0.8697)  4 In 3.44, 2 Bi 3.50, 6 Tl 3.53-3.84
Tl (0.0000, 0.5000, 0.2374)  2 In 3.34, 8 Tl 3.47-3.54
Tl (0.0000, 0.5000, 0.7626)  2 In 3.34, 8 Tl 3.47-3.54
Tl (0.5000, 0.0000, 0.2626)  2 In 3.34, 8 Tl 3.47-3.54
Tl (0.5000, 0.0000, 0.7374)  2 In 3.34, 8 Tl 3.47-3.54
Tl (0.5000, 0.5000, 0.3697)  4 In 3.44, 2 Bi 3.50, 6 Tl 3.53-3.84
Tl (0.5000, 0.5000, 0.6303)  4 In 3.44, 2 Bi 3.50, 6 Tl 3.53-3.84
In (0.0000, 0.0000, 0.3850)  4 In 3.20-3.53, 6 Tl 3.34-3.44
In (0.0000, 0.0000, 0.6150)  4 In 3.20-3.53, 6 Tl 3.34-3.44
In (0.0000, 0.5000, 0.0000)  6 In 3.20-3.53, 4 Bi 3.42
In (0.5000, 0.0000, 0.5000)  6 In 3.20-3.53, 4 Bi 3.42
In (0.5000, 0.5000, 0.1150)  4 In 3.20-3.53, 6 Tl 3.34-3.44
In (0.5000, 0.5000, 0.8850)  4 In 3.20-3.53, 6 Tl 3.34-3.44
Bi (0.0000, 0.5000, 0.5000)  4 In 3.42, 4 Tl 3.50, 2 Bi 3.53
Bi (0.5000, 0.0000, 0.0000)  4 In 3.42, 4 Tl 3.50, 2 Bi 3.53

---

Computed, not measured: a relaxed structure of KMgBe2 at the PBE level of DFT.

- Crystal system: orthorhombic
- Total magnetic moment: 0.00 μB/atom
- Volume: 20.2 A^3/atom
- DFT formation energy: 989 meV/atom

a = 7.5380 Å, b = 7.5517 Å, c = 2.8457 Å
α = 90.00°, β = 90.00°, γ = 90.00°
With the nearest neighbours (Å) after each atom.
Positions (direct):
K (0.0000, 0.0000, 0.0000)  2 K 2.85, 8 Be 3.02
K (0.5000, 0.5000, 0.0000)  2 K 2.85, 8 Be 3.02
Mg (0.0000, 0.5000, 0.0000)  2 Mg 2.85, 8 Be 3.02
Mg (0.5000, 0.0000, 0.0000)  2 Mg 2.85, 8 Be 3.02
Be (0.2500, 0.2500, 0.5000)  2 Be 2.85, 4 K 3.02, 4 Mg 3.02
Be (0.2500, 0.7500, 0.5000)  2 Be 2.85, 4 K 3.02, 4 Mg 3.02
Be (0.7500, 0.2500, 0.5000)  2 Be 2.85, 4 K 3.02, 4 Mg 3.02
Be (0.7500, 0.7500, 0.5000)  2 Be 2.85, 4 Mg 3.02, 4 K 3.02

---

Computed, not measured: a relaxed structure of BaCu9Si4 at the PBE level of DFT.

- Crystal system: tetragonal
- Formation energy (no corrections): -0.20 eV/atom
- Total magnetic moment: 0.00 μB/atom
- Volume: 14.2 A^3/atom

a = 8.2712 Å, b = 8.2712 Å, c = 8.2712 Å
α = 120.22°, β = 120.22°, γ = 89.62°
With the nearest neighbours (Å) after each atom.
Positions (direct):
Ba (0.2500, 0.2500, 0.0000)  16 Cu 3.37-3.43, 8 Si 3.43
Ba (0.7500, 0.7500, 0.0000)  16 Cu 3.37-3.43, 8 Si 3.43
Cu (0.0000, 0.5000, 0.5000)  4 Si 2.45, 8 Cu 2.49-2.57
Cu (0.0594, 0.5594, 0.2548)  4 Si 2.46-2.62, 5 Cu 2.57-2.61
Cu (0.0641, 0.7952, 0.8593)  6 Cu 2.49-2.69, 4 Si 2.55-2.59
Cu (0.1954, 0.9406, 0.5000)  4 Si 2.46-2.62, 5 Cu 2.57-2.61
Cu (0.2048, 0.0641, 0.2689)  6 Cu 2.49-2.69, 4 Si 2.55-2.59
Cu (0.2952, 0.5641, 0.8593)  6 Cu 2.49-2.69, 4 Si 2.55-2.59
Cu (0.3046, 0.8046, 0.7452)  4 Si 2.46-2.62, 5 Cu 2.57-2.61
Cu (0.4359, 0.2952, 0.7311)  6 Cu 2.49-2.69, 4 Si 2.55-2.59
Cu (0.4406, 0.6954, 0.5000)  4 Si 2.46-2.62, 5 Cu 2.57-2.61
Cu (0.5000, 0.0000, 0.5000)  4 Si 2.45, 8 Cu 2.49-2.57
Cu (0.5594, 0.3046, 0.5000)  4 Si 2.46-2.62, 5 Cu 2.57-2.61
Cu (0.5641, 0.7048, 0.2689)  6 Cu 2.49-2.69, 4 Si 2.55-2.59
Cu (0.6954, 0.1954, 0.2548)  4 Si 2.46-2.62, 5 Cu 2.57-2.61
Cu (0.7048, 0.4359, 0.1407)  6 Cu 2.49-2.69, 4 Si 2.55-2.59
Cu (0.7952, 0.9359, 0.7311)  6 Cu 2.49-2.69, 4 Si 2.55-2.59
Cu (0.8046, 0.0594, 0.5000)  4 Si 2.46-2.62, 5 Cu 2.57-2.61
Cu (0.9359, 0.2048, 0.1407)  6 Cu 2.49-2.69, 4 Si 2.55-2.59
Cu (0.9406, 0.4406, 0.7452)  4 Si 2.46-2.62, 5 Cu 2.57-2.61
Si (0.0605, 0.2098, 0.5000)  9 Cu 2.45-2.62, 1 Si 2.70
Si (0.2098, 0.7098, 0.1492)  9 Cu 2.45-2.62, 1 Si 2.70
Si (0.2902, 0.4395, 0.5000)  9 Cu 2.45-2.62, 1 Si 2.70
Si (0.4395, 0.9395, 0.1492)  9 Cu 2.45-2.62, 1 Si 2.70
Si (0.5605, 0.0605, 0.8508)  9 Cu 2.45-2.62, 1 Si 2.70
Si (0.7098, 0.5605, 0.5000)  9 Cu 2.45-2.62, 1 Si 2.70
Si (0.7902, 0.2902, 0.8508)  9 Cu 2.45-2.62, 1 Si 2.70
Si (0.9395, 0.7902, 0.5000)  9 Cu 2.45-2.62, 1 Si 2.70

---

Computed, not measured: a relaxed structure of GaReSb2Te at the PBE level of DFT.

- Crystal system: tetragonal
- Formation energy (no corrections): 1.52 eV/atom
- Polymorph energy (0 for the lowest one): 866 meV/atom
- Total magnetic moment: 0.61 μB/atom
- Volume: 28.2 A^3/atom

a = 5.1893 Å, b = 5.1893 Å, c = 5.2437 Å
α = 90.00°, β = 90.00°, γ = 90.00°
With the nearest neighbours (Å) after each atom.
Positions (direct):
Ga (0.0000, 0.0000, 0.0000)  4 Sb 2.59, 2 Te 2.62
Re (0.5000, 0.5000, 0.5000)  4 Te 3.67, 8 Sb 3.69
Sb (0.0000, 0.5000, 0.0000)  2 Ga 2.59
Sb (0.5000, 0.0000, 0.0000)  2 Ga 2.59
Te (0.0000, 0.0000, 0.5000)  2 Ga 2.62

---

Computed, not measured: a relaxed structure of Sm2Er6TmSc at the PBE level of DFT.

- Crystal system: monoclinic
- Total magnetic moment: 0.00 μB/atom
- Volume: 30.8 A^3/atom
- DFT formation energy: 123 meV/atom

a = 8.6058 Å, b = 8.6058 Å, c = 9.4842 Å
α = 94.53°, β = 94.53°, γ = 117.51°
With the nearest neighbours (Å) after each atom.
Positions (direct):
Sm (0.1974, 0.2994, 0.0456)  5 Er 3.17-3.47, 2 Tm 3.32-3.33, 1 Sc 3.43
Sm (0.2994, 0.1974, 0.5456)  5 Er 3.17-3.47, 2 Tm 3.32-3.33, 1 Sc 3.43
Sm (0.7006, 0.8026, 0.4544)  5 Er 3.17-3.47, 2 Tm 3.32-3.33, 1 Sc 3.43
Sm (0.8026, 0.7006, 0.9544)  5 Er 3.17-3.47, 2 Tm 3.32-3.33, 1 Sc 3.43
Er (0.0119, 0.5717, 0.1904)  3 Er 3.22-3.55, 1 Sm 3.33, 1 Sc 3.35, 1 Tm 3.50
Er (0.1273, 0.7469, 0.5575)  7 Er 3.37-3.65, 1 Sm 3.47, 1 Tm 3.57, 1 Sc 3.71
Er (0.2531, 0.8727, 0.9425)  7 Er 3.37-3.65, 1 Sm 3.47, 1 Tm 3.57, 1 Sc 3.71
Er (0.2936, 0.5030, 0.3830)  3 Sm 3.17-3.37, 4 Er 3.22-3.43, 2 Sc 3.31-3.47
Er (0.4283, 0.9881, 0.3096)  3 Er 3.22-3.55, 1 Sm 3.33, 1 Sc 3.35, 1 Tm 3.50
Er (0.4970, 0.7064, 0.1170)  3 Sm 3.17-3.37, 4 Er 3.22-3.43, 2 Sc 3.31-3.47
Er (0.5030, 0.2936, 0.8830)  3 Sm 3.17-3.37, 4 Er 3.22-3.43, 2 Sc 3.31-3.47
Er (0.5717, 0.0119, 0.6904)  3 Er 3.22-3.55, 1 Sm 3.33, 1 Sc 3.35, 1 Tm 3.50
Er (0.7064, 0.4970, 0.6170)  3 Sm 3.17-3.37, 4 Er 3.22-3.43, 2 Sc 3.31-3.47
Er (0.7469, 0.1273, 0.0575)  7 Er 3.37-3.65, 1 Sm 3.47, 1 Tm 3.57, 1 Sc 3.71
Er (0.8727, 0.2531, 0.4425)  7 Er 3.37-3.65, 1 Sm 3.47, 1 Tm 3.57, 1 Sc 3.71
Er (0.9881, 0.4283, 0.8096)  3 Er 3.22-3.55, 1 Sm 3.33, 1 Sc 3.35, 1 Tm 3.50
Tm (0.0184, 0.9816, 0.2500)  4 Sm 3.32-3.33, 4 Er 3.50-3.57
Tm (0.9816, 0.0184, 0.7500)  4 Sm 3.32-3.33, 4 Er 3.50-3.57
Sc (0.4099, 0.5901, 0.7500)  6 Er 3.31-3.47, 2 Sm 3.43
Sc (0.5901, 0.4099, 0.2500)  6 Er 3.31-3.47, 2 Sm 3.43

---

Computed, not measured: a relaxed structure of Ru2Se at the PBE level of DFT.

- Crystal system: tetragonal
- Formation energy (no corrections): 0.31 eV/atom
- Polymorph energy (0 for the lowest one): 254 meV/atom
- Total magnetic moment: 0.00 μB/atom
- Volume: 14.9 A^3/atom

a = 2.9420 Å, b = 2.9420 Å, c = 10.3188 Å
α = 90.00°, β = 90.00°, γ = 90.00°
With the nearest neighbours (Å) after each atom.
Positions (direct):
Ru (0.0000, 0.0000, 0.1682)  8 Ru 2.68-2.94, 4 Se 2.71
Ru (0.0000, 0.0000, 0.8318)  8 Ru 2.68-2.94, 4 Se 2.71
Ru (0.5000, 0.5000, 0.3318)  8 Ru 2.68-2.94, 4 Se 2.71
Ru (0.5000, 0.5000, 0.6682)  8 Ru 2.68-2.94, 4 Se 2.71
Se (0.0000, 0.0000, 0.5000)  8 Ru 2.71, 4 Se 2.94
Se (0.5000, 0.5000, 0.0000)  8 Ru 2.71, 4 Se 2.94

---

Q: volume of number 6 (KMgBe2)?
A: 20.2 A^3/atom

---

Q: The lowest volume belongs to which entry?
A: BaCu9Si4